The following is a PBE calculation of Ca4YTh3Bi8 after structural relaxation, from Alexandria.

Properties
**Formation energy from the elements**: -0.7502 eV/atom
**Calculated volume**: 553.5 Å³/f.u.
**Calculated density**: 7.9 g/cm³

Unit cell a=9.231 b=9.202 c=9.231 alpha=120.10 beta=120.00 gamma=90.00
Positions (direct):
Y 0.000 0.500 0.000
Bi 0.247 0.745 0.493
Bi 0.249 0.255 0.002
Bi 0.251 0.252 0.502
Bi 0.753 0.255 0.002
Bi 0.749 0.748 0.498
Bi 0.751 0.745 0.998
Bi 0.753 0.255 0.507
Bi 0.247 0.745 0.998
Ca 0.000 0.000 0.000
Ca 0.500 0.000 0.000
Ca 0.500 0.000 0.500
Ca 0.000 0.000 0.500
Th 0.500 0.500 0.000
Th 0.000 0.500 0.500
Th 0.500 0.500 0.500


The following is a PBE calculation of Na2InHg3 after structural relaxation, from Alexandria.

Properties
**Formation energy from the elements**: -0.1285 eV/atom
**Calculated volume**: 169.4 Å³/f.u.
**Energy relative to the lowest polymorph listed for this composition**: 0.013 eV per atom
**Calculated density**: 7.5 g/cm³

Unit cell a=4.799 b=3.521 c=10.457 alpha=99.69 beta=103.26 gamma=90.00
Positions (direct):
Hg 0.709 0.709 0.417
Hg 0.293 0.793 0.586
Hg 0.562 0.562 0.124
Na 0.137 0.137 0.275
Na 0.856 0.356 0.713
In 0.442 0.942 0.885


The following is a PBE calculation of Li2TaSe4 after structural relaxation, from Alexandria.

Properties
**Calculated volume**: 172.1 Å³/f.u.
**Energy relative to the elements, uncorrected**: -4.1 eV/f.u.
**Energy relative to the lowest polymorph listed for this composition**: 0.213 eV per atom
**Calculated density**: 4.9 g/cm³

Unit cell a=5.100 b=5.100 c=7.536 alpha=70.22 beta=70.22 gamma=90.00
Positions (direct):
Li 0.622 0.622 0.756
Li 0.378 0.378 0.244
Se 0.190 0.190 0.621
Se 0.000 0.500 0.000
Se 0.810 0.810 0.379
Se 0.500 0.000 0.000
Ta 0.000 0.000 0.000


The following is a PBE calculation of La3HgN after structural relaxation, from Alexandria.

Properties
**Calculated volume**: 181.9 Å³/f.u.
**Energy relative to the elements, uncorrected**: -2.4 eV/f.u.
**Calculated density**: 5.8 g/cm³

Unit cell a=8.730 b=8.730 c=8.730 alpha=50.40 beta=50.40 gamma=50.40
Positions (direct):
N 0.250 0.250 0.250
N 0.750 0.750 0.750
La 0.549 0.250 0.951
La 0.750 0.049 0.451
La 0.451 0.750 0.049
La 0.250 0.951 0.549
La 0.951 0.549 0.250
La 0.049 0.451 0.750
Hg 0.500 0.500 0.500
Hg 0.000 0.000 0.000


The following is a PBE calculation of Hg2Pd4Au3 after structural relaxation, from Alexandria.

Properties
**Formation energy from the elements**: -0.0070 eV/atom
**Calculated volume**: 162.7 Å³/f.u.
**Energy relative to the lowest polymorph listed for this composition**: 0.109 eV per atom
**Calculated density**: 14.5 g/cm³

Unit cell a=5.293 b=8.072 c=8.072 alpha=73.28 beta=82.14 gamma=82.14
Positions (direct):
Pd 0.422 0.493 0.827
Pd 0.922 0.827 0.493
Pd 0.995 0.297 0.816
Pd 0.578 0.507 0.173
Pd 0.078 0.173 0.507
Pd 0.495 0.816 0.297
Pd 0.505 0.184 0.703
Pd 0.005 0.703 0.184
Au 0.940 0.960 0.843
Au 0.560 0.157 0.040
Au 0.060 0.040 0.157
Au 0.250 0.506 0.494
Au 0.750 0.494 0.506
Au 0.440 0.843 0.960
Hg 0.118 0.376 0.156
Hg 0.382 0.844 0.624
Hg 0.882 0.624 0.844
Hg 0.618 0.156 0.376


The following is a PBE calculation of Zr2FeNi after structural relaxation, from Alexandria.

Properties
**Formation energy from the elements**: 0.1839 eV/atom
**Calculated volume**: 68.2 Å³/f.u.
**Energy relative to the lowest polymorph listed for this composition**: 0.452 eV per atom
**Calculated density**: 7.2 g/cm³

Unit cell a=6.931 b=6.931 c=5.665 alpha=52.28 beta=52.28 gamma=90.00
Positions (direct):
Fe 0.500 0.500 0.000
Fe 0.250 0.750 0.500
Zr 0.375 0.382 0.750
Zr 0.618 0.125 0.250
Zr 0.132 0.625 0.250
Zr 0.875 0.868 0.750
Ni 0.750 0.250 0.500
Ni 0.000 0.000 0.000


The following is a PBE calculation of RbYAu2 after structural relaxation, from Alexandria.

Properties
**Formation energy from the elements**: -0.5512 eV/atom
**Calculated volume**: 116.9 Å³/f.u.
**Energy relative to the lowest polymorph listed for this composition**: 0.000 eV per atom
**Calculated density**: 8.1 g/cm³

Unit cell a=3.740 b=3.740 c=8.357 alpha=90.00 beta=90.00 gamma=90.00
Positions (direct):
Au 0.000 0.000 0.820
Au 0.000 0.000 0.180
Y 0.500 0.500 0.000
Rb 0.500 0.500 0.500


The following is a PBE calculation of LiHo3Hg5 after structural relaxation, from Alexandria.

Properties
**Formation energy from the elements**: -0.4041 eV/atom
**Calculated volume**: 215.8 Å³/f.u.
**Calculated density**: 11.6 g/cm³

Unit cell a=6.189 b=8.974 c=8.974 alpha=120.00 beta=90.00 gamma=90.00
Positions (direct):
Hg 0.000 0.333 0.667
Hg 0.750 0.706 0.706
Hg 0.250 0.000 0.706
Hg 0.500 0.667 0.333
Hg 0.500 0.333 0.667
Hg 0.750 0.000 0.294
Hg 0.250 0.706 0.000
Hg 0.000 0.667 0.333
Hg 0.750 0.294 0.000
Hg 0.250 0.294 0.294
Li 0.500 0.000 0.000
Li 0.000 0.000 0.000
Ho 0.250 0.637 0.637
Ho 0.250 0.363 0.000
Ho 0.750 0.363 0.363
Ho 0.750 0.637 0.000
Ho 0.750 0.000 0.637
Ho 0.250 0.000 0.363


The following is a PBE calculation of Ba2TiAg after structural relaxation, from Alexandria.

Properties
**Formation energy from the elements**: 0.5804 eV/atom
**Calculated volume**: 139.6 Å³/f.u.
**Energy relative to the lowest polymorph listed for this composition**: 0.000 eV per atom
**Calculated density**: 5.1 g/cm³

Unit cell a=5.823 b=5.823 c=5.823 alpha=60.00 beta=60.00 gamma=60.00
Positions (direct):
Ba 0.250 0.250 0.250
Ba 0.750 0.750 0.750
Ag 0.500 0.500 0.500
Ti 0.000 0.000 0.000


The following is a PBE calculation of LaTcW after structural relaxation, from Alexandria.

Properties
**Formation energy from the elements**: 0.2547 eV/atom
**Calculated volume**: 62.5 Å³/f.u.
**Energy relative to the lowest polymorph listed for this composition**: 0.107 eV per atom
**Calculated density**: 11.2 g/cm³

Unit cell a=6.468 b=6.468 c=6.468 alpha=151.25 beta=151.25 gamma=41.11
Positions (direct):
W 0.699 0.699 0.000
La 0.999 0.999 0.000
Tc 0.302 0.302 0.000


The following is a PBE calculation of CaCd3Ga2 after structural relaxation, from Alexandria.

Properties
**Formation energy from the elements**: -0.2222 eV/atom
**Calculated volume**: 135.2 Å³/f.u.
**Energy relative to the lowest polymorph listed for this composition**: 0.003 eV per atom
**Calculated density**: 6.3 g/cm³

Unit cell a=4.586 b=9.214 c=7.554 alpha=118.04 beta=90.00 gamma=104.41
Positions (direct):
Ga 0.515 0.030 0.183
Ga 0.767 0.534 0.203
Ga 0.485 0.970 0.817
Ga 0.233 0.466 0.797
Ca 0.123 0.245 0.064
Ca 0.877 0.755 0.936
Cd 0.938 0.877 0.577
Cd 0.691 0.383 0.460
Cd 0.629 0.258 0.762
Cd 0.371 0.742 0.238
Cd 0.062 0.123 0.423
Cd 0.309 0.617 0.540


The following is a PBE calculation of MnCo2Si after structural relaxation, from Alexandria.

Properties
**Calculated volume**: 44.6 Å³/f.u.
**Energy relative to the elements, uncorrected**: -1.7 eV/f.u.
**Calculated density**: 7.5 g/cm³

Unit cell a=3.981 b=3.981 c=3.981 alpha=60.00 beta=60.00 gamma=60.00
Positions (direct):
Mn 0.500 0.500 0.500
Co 0.250 0.250 0.250
Co 0.750 0.750 0.750
Si 0.000 0.000 0.000


The following is a PBE calculation of ScFeTc2 after structural relaxation, from Alexandria.

Properties
**Formation energy from the elements**: 0.0331 eV/atom
**Calculated volume**: 61.1 Å³/f.u.
**Energy relative to the lowest polymorph listed for this composition**: 0.078 eV per atom
**Calculated density**: 8.1 g/cm³

Unit cell a=3.111 b=3.112 c=6.305 alpha=90.00 beta=90.00 gamma=90.00
Positions (direct):
Tc 0.000 0.000 0.036
Tc 0.000 0.000 0.464
Sc 0.500 0.500 0.750
Fe 0.500 0.500 0.250


The following is a PBE calculation of Pr4YHo4 after structural relaxation, from Alexandria.

Properties
**Formation energy from the elements**: 0.0198 eV/atom
**Calculated volume**: 300.4 Å³/f.u.
**Energy relative to the lowest polymorph listed for this composition**: 0.000 eV per atom
**Calculated density**: 7.3 g/cm³

Unit cell a=5.099 b=8.088 c=8.088 alpha=84.30 beta=71.63 gamma=71.63
Positions (direct):
Pr 0.333 0.335 0.000
Pr 0.667 0.665 0.000
Pr 0.667 0.000 0.665
Pr 0.333 0.000 0.335
Ho 0.664 0.336 0.336
Ho 0.000 0.664 0.336
Ho 0.336 0.664 0.664
Ho 0.000 0.336 0.664
Y 0.000 0.000 0.000


The following is a PBE calculation of PmDyPt after structural relaxation, from Alexandria.

Properties
**Formation energy from the elements**: -0.8596 eV/atom
**Calculated volume**: 79.0 Å³/f.u.
**Energy relative to the lowest polymorph listed for this composition**: 0.025 eV per atom
**Calculated density**: 10.6 g/cm³

Unit cell a=8.124 b=9.560 c=8.752 alpha=123.11 beta=117.65 gamma=90.00
Positions (direct):
Dy 0.768 0.137 0.274
Dy 0.494 0.363 0.726
Dy 0.025 0.000 0.000
Dy 0.494 0.863 0.726
Dy 0.025 0.500 0.000
Dy 0.768 0.637 0.274
Pm 0.133 0.455 0.410
Pm 0.723 0.045 0.590
Pm 0.347 0.250 0.000
Pm 0.347 0.750 0.000
Pm 0.723 0.545 0.590
Pm 0.133 0.955 0.410
Pt 0.723 0.750 0.000
Pt 0.723 0.250 0.000
Pt 0.124 0.840 0.681
Pt 0.124 0.340 0.681
Pt 0.443 0.160 0.319
Pt 0.443 0.660 0.319


The following is a PBE calculation of RbInAgAu after structural relaxation, from Alexandria.

Properties
**Formation energy from the elements**: -0.1837 eV/atom
**Calculated volume**: 130.0 Å³/f.u.
**Calculated density**: 6.5 g/cm³

Unit cell a=4.853 b=4.893 c=6.919 alpha=110.96 beta=90.00 gamma=119.73
Positions (direct):
In 0.111 0.221 0.974
Rb 0.619 0.238 0.498
Au 0.435 0.870 0.949
Ag 0.802 0.603 0.047


The following is a PBE calculation of ZnBiRh3 after structural relaxation, from Alexandria.

Properties
**Formation energy from the elements**: 0.6338 eV/atom
**Calculated volume**: 96.3 Å³/f.u.
**Energy relative to the lowest polymorph listed for this composition**: 0.000 eV per atom
**Calculated density**: 10.1 g/cm³

Unit cell a=4.584 b=4.584 c=4.584 alpha=90.00 beta=90.00 gamma=90.00
Positions (direct):
Zn 0.000 0.000 0.000
Rh 0.000 0.500 0.000
Rh 0.000 0.000 0.500
Rh 0.500 0.000 0.000
Bi 0.500 0.500 0.500


The following is a PBE calculation of Tl2HgS after structural relaxation, from Alexandria.

Properties
**Calculated volume**: 122.7 Å³/f.u.
**Energy relative to the elements, uncorrected**: -0.7 eV/f.u.
**Energy relative to the lowest polymorph listed for this composition**: 0.085 eV per atom
**Calculated density**: 8.7 g/cm³

Unit cell a=8.313 b=8.313 c=6.868 alpha=52.75 beta=52.75 gamma=90.00
Positions (direct):
Tl 0.375 0.416 0.750
Tl 0.166 0.625 0.250
Tl 0.875 0.834 0.750
Tl 0.584 0.125 0.250
Hg 0.750 0.250 0.500
Hg 0.000 0.000 0.000
S 0.250 0.750 0.500
S 0.500 0.500 0.000


The following is a PBE calculation of Pr2Nd2Bi5 after structural relaxation, from Alexandria.

Properties
**Formation energy from the elements**: -0.7397 eV/atom
**Calculated volume**: 303.0 Å³/f.u.
**Calculated density**: 8.9 g/cm³

Unit cell a=8.662 b=9.272 c=9.272 alpha=125.53 beta=90.00 gamma=90.00
Positions (direct):
Pr 0.339 0.157 0.157
Pr 0.839 0.343 0.343
Pr 0.161 0.657 0.657
Pr 0.661 0.843 0.843
Bi 0.648 0.290 0.007
Bi 0.148 0.210 0.493
Bi 0.000 0.000 0.000
Bi 0.352 0.710 0.993
Bi 0.500 0.500 0.500
Bi 0.852 0.790 0.507
Bi 0.852 0.507 0.790
Bi 0.148 0.493 0.210
Bi 0.352 0.993 0.710
Bi 0.648 0.007 0.290
Nd 0.000 0.191 0.809
Nd 0.000 0.809 0.191
Nd 0.500 0.691 0.309
Nd 0.500 0.309 0.691


The following is a PBE calculation of TeAu3I after structural relaxation, from Alexandria.

Properties
**Calculated volume**: 150.7 Å³/f.u.
**Energy relative to the elements, uncorrected**: 1.8 eV/f.u.
**Energy relative to the lowest polymorph listed for this composition**: 0.000 eV per atom
**Calculated density**: 9.3 g/cm³

Unit cell a=5.322 b=5.322 c=5.322 alpha=90.00 beta=90.00 gamma=90.00
Positions (direct):
Au 0.500 0.000 0.000
Au 0.000 0.500 0.000
Au 0.000 0.000 0.500
I 0.500 0.500 0.500
Te 0.000 0.000 0.000


The following is a PBE calculation of Pr2LuBi after structural relaxation, from Alexandria.

Properties
**Formation energy from the elements**: -0.3740 eV/atom
**Calculated volume**: 122.7 Å³/f.u.
**Energy relative to the lowest polymorph listed for this composition**: 0.021 eV per atom
**Calculated density**: 9.0 g/cm³

Unit cell a=4.972 b=4.969 c=4.969 alpha=90.00 beta=90.00 gamma=90.00
Positions (direct):
Lu 0.500 0.000 0.000
Pr 0.000 0.500 0.000
Pr 0.000 0.000 0.500
Bi 0.500 0.500 0.500


The following is a PBE calculation of CePrPCl after structural relaxation, from Alexandria.

Properties
**Calculated volume**: 103.6 Å³/f.u.
**Energy relative to the elements, uncorrected**: -6.1 eV/f.u.
**Calculated density**: 5.6 g/cm³

Unit cell a=4.031 b=4.031 c=7.720 alpha=90.00 beta=105.13 gamma=120.00
Positions (direct):
Cl 0.965 0.381 0.361
Pr 0.492 0.144 0.651
Ce 0.114 0.955 0.084
P 0.307 0.551 0.874